[1]
K2CdH2F6 | PBE-GGA | optimized geometry

Results
The energy comes out at -3.978 eV per atom. The value obtained for the total magnetization is 0.00 μB per cell.

Unit cell a=6.7210 b=6.7210 c=6.7210 alpha=47.23 beta=47.23 gamma=47.23
Closest atoms and distances in Å follow each position.
Sites, in units of the cell vectors:
K  0.2146  0.2146  0.2146  9 F 2.78-2.94
K  0.7854  0.7854  0.7854  9 F 2.78-2.94
Cd  0.0000  0.0000  0.0000  6 F 2.26
H  0.4134  0.4134  0.4134  3 F 1.38
H  0.5866  0.5866  0.5866  3 F 1.38
F  0.2671  0.2671  0.7101  1 H 1.38
F  0.2671  0.7101  0.2671  1 H 1.38
F  0.2899  0.7329  0.7329  1 H 1.38
F  0.7101  0.2671  0.2671  1 H 1.38
F  0.7329  0.2899  0.7329  1 H 1.38
F  0.7329  0.7329  0.2899  1 H 1.38

***

[2]
Li2CdHF6 | PBE-GGA | optimized geometry

Results
The energy comes out at -4.040 eV per atom. The value obtained for the total magnetization is 1.94 μB per cell.

Unit cell a=6.5005 b=6.5005 c=5.5766 alpha=98.68 beta=98.68 gamma=87.42
Closest atoms and distances in Å follow each position.
Sites, in units of the cell vectors:
Li  0.1359  0.3402  0.1134  5 F 1.96-2.05
Li  0.3402  0.1359  0.6134  5 F 1.96-2.05
Li  0.6598  0.8641  0.3866  5 F 1.96-2.05
Li  0.8641  0.6598  0.8866  5 F 1.96-2.05
Cd  0.3633  0.6367  0.7500  6 F 2.30-2.32
Cd  0.6367  0.3633  0.2500  6 F 2.30-2.32
H  0.2274  0.7726  0.2500  2 F 1.15
H  0.7726  0.2274  0.7500  2 F 1.15
F  0.0285  0.7620  0.6517  1 Li 2.01, 1 F 2.04
F  0.1246  0.6556  0.1133  1 H 1.15
F  0.2380  0.9715  0.8483  1 Li 2.01, 1 F 2.04
F  0.3336  0.3707  0.4239  2 Li 1.98
F  0.3444  0.8754  0.3867  1 H 1.15
F  0.3707  0.3336  0.9239  2 Li 1.98
F  0.6293  0.6664  0.0761  2 Li 1.98
F  0.6556  0.1246  0.6133  1 H 1.15
F  0.6664  0.6293  0.5761  2 Li 1.98
F  0.7620  0.0285  0.1517  1 Li 2.01, 1 F 2.04
F  0.8754  0.3444  0.8867  1 H 1.15
F  0.9715  0.2380  0.3483  1 Li 2.01, 1 F 2.04

***

- Look up the energy of the second one.
  -4.040 eV per atom

***

What did the first record say?
K2CdH2F6 | PBE-GGA | optimized geometry

Results
The energy comes out at -3.978 eV per atom. The value obtained for the total magnetization is 0.00 μB per cell.

Unit cell a=6.7210 b=6.7210 c=6.7210 alpha=47.23 beta=47.23 gamma=47.23
Closest atoms and distances in Å follow each position.
Sites, in units of the cell vectors:
K  0.2146  0.2146  0.2146  9 F 2.78-2.94
K  0.7854  0.7854  0.7854  9 F 2.78-2.94
Cd  0.0000  0.0000  0.0000  6 F 2.26
H  0.4134  0.4134  0.4134  3 F 1.38
H  0.5866  0.5866  0.5866  3 F 1.38
F  0.2671  0.2671  0.7101  1 H 1.38
F  0.2671  0.7101  0.2671  1 H 1.38
F  0.2899  0.7329  0.7329  1 H 1.38
F  0.7101  0.2671  0.2671  1 H 1.38
F  0.7329  0.2899  0.7329  1 H 1.38
F  0.7329  0.7329  0.2899  1 H 1.38